The following is a PBE calculation of a relaxed PmZr2Cu crystal, from Alexandria.

Calculated values
The energy of formation from the pure elements is 0.048 eV/atom. The value obtained for the spin magnetization is 0.00 μB/cell.

a b c (Å): 3.333 3.333 8.056
angles (deg): 90.00 90.00 90.00
Fractional coordinates of all 4 atoms:
Pm (0.000, 0.000, 0.000)
Zr (0.500, 0.500, 0.300)
Zr (0.500, 0.500, 0.700)
Cu (0.000, 0.000, 0.500)

The following is a PBE calculation of a relaxed Pm4ZrCu5 crystal, from Alexandria.

Calculated values
The energy of formation from the pure elements is -0.138 eV/atom. The value obtained for the spin magnetization is 0.00 μB/cell.

a b c (Å): 3.500 3.500 17.618
angles (deg): 90.00 90.00 90.00
Fractional coordinates of all 10 atoms:
Pm (0.000, 0.000, 0.103)
Pm (0.000, 0.000, 0.310)
Pm (0.000, 0.000, 0.690)
Pm (0.000, 0.000, 0.897)
Zr (0.000, 0.000, 0.500)
Cu (0.500, 0.500, 0.000)
Cu (0.500, 0.500, 0.207)
Cu (0.500, 0.500, 0.423)
Cu (0.500, 0.500, 0.577)
Cu (0.500, 0.500, 0.793)